{"formula": "La2PrHoTm4", "functional": "PBE-GGA", "state": "relaxed", "formation_energy_ev_per_atom": 0.399, "rho_kg_m3": 7823, "lattice": [[9.342, -0.027, -1.852], [-0.033, 9.342, -1.851], [-5.885, -5.889, 8.467]], "species": ["Tm", "Tm", "Tm", "Tm", "Tm", "Tm", "Tm", "Tm", "La", "La", "La", "La", "Pr", "Pr", "Ho", "Ho"], "fractional_positions": [[0.253, 0.744, 0.499], [0.250, 0.250, 0.006], [0.250, 0.250, 0.494], [0.750, 0.750, 0.506], [0.750, 0.750, 0.994], [0.756, 0.247, 0.001], [0.747, 0.256, 0.501], [0.244, 0.753, 0.999], [0.500, 0.500, 0.000], [0.500, 0.000, 0.500], [0.500, 0.000, 0.000], [0.000, 0.000, 0.500], [0.000, 0.500, 0.000], [0.000, 0.500, 0.500], [0.500, 0.500, 0.500], [0.000, 0.000, 0.000]]}